The following is a DFT calculation (GGA-PBEsol) of a geometry-optimized PPt3F structure.

Summary:
Size of the total moment, μB/cell: 0.0
Calculated volume, Å³/atom: 17.1
DFT total energy, eV per atom: -5.4496
Distance to the lowest polymorph of the same formula, meV/atom: 0
DOS at the Fermi energy, states/eV/cell: 1.54

Unit cell a=4.4058 b=4.4058 c=4.4058 alpha=90.00 beta=90.00 gamma=90.00
With the nearest neighbours (Å) after each atom.
Positions (direct):
P  0.0000  0.0000  0.0000  6 Pt 2.20
Pt  0.0000  0.0000  0.5000  2 P 2.20
Pt  0.0000  0.5000  0.0000  2 P 2.20
Pt  0.5000  0.0000  0.0000  2 P 2.20
F  0.5000  0.5000  0.5000  12 Pt 3.12